The following is a PBEsol calculation of TaSbI2O after structural relaxation, from Alexandria.

Calculated values
The formation energy from raw total energies comes out at 3.70 eV/f.u.

Lattice parameters (Å, degrees): 3.951 5.911 5.911 90.00 90.00 90.00
Sites, in units of the cell vectors:
I: 0.000 0.000 0.500
Ta: 0.500 0.500 0.500
Sb: 0.000 0.000 0.000
I: 0.000 0.500 0.000
O: 0.500 0.000 0.000



The following is a PBEsol calculation of SbTeI2O after structural relaxation, from Alexandria.

Calculated values
The formation energy from raw total energies comes out at -0.23 eV/f.u.

Lattice parameters (Å, degrees): 4.006 6.025 6.025 90.00 90.00 90.00
Sites, in units of the cell vectors:
O: 0.500 0.000 0.000
I: 0.000 0.500 0.000
Sb: 0.000 0.000 0.000
I: 0.000 0.000 0.500
Te: 0.500 0.500 0.500



Repeat the second record exactly.
The following is a PBEsol calculation of SbTeI2O after structural relaxation, from Alexandria.

Calculated values
The formation energy from raw total energies comes out at -0.23 eV/f.u.

Lattice parameters (Å, degrees): 4.006 6.025 6.025 90.00 90.00 90.00
Sites, in units of the cell vectors:
O: 0.500 0.000 0.000
I: 0.000 0.500 0.000
Sb: 0.000 0.000 0.000
I: 0.000 0.000 0.500
Te: 0.500 0.500 0.500



Q: formation energy from raw total energies of number 2 (SbTeI2O)?
A: -0.23 eV/f.u.



Q: Look up the formation energy from raw total energies of the second one.
A: -0.23 eV/f.u.



Q: Look up the formation energy from raw total energies of the first one.
A: 3.70 eV/f.u.